TlCoF2 | PBE with a Hubbard U | optimized geometry

Calculated values
Theoretical density (g/cm³): 7.79
Fermi-level density of states (states/eV/atom): 1.75
E (eV per atom): -3.5976

a = 6.356 Å, b = 6.356 Å, c = 6.356 Å
α = 90.00°, β = 90.00°, γ = 90.00°
Space group Fm-3m (No. 225)
Asymmetric unit:
Tl: 0.000 0.000 0.000
Co: 0.000 0.000 0.500
F: 0.250 0.250 0.250